A relaxed NdSmAl2Zn2 crystal, computed with PBE.

a b c (Å): 4.5450 4.5450 7.5030
angles (deg): 90.00 90.00 120.00
Closest atoms and distances in Å follow each position.
Space group P-3m1 (No. 164)
Asymmetric unit:
Nd (0.0000, 0.0000, 0.0000)  6 Al 3.27, 6 Zn 3.29
Sm (0.0000, 0.0000, 0.5000)  6 Zn 3.16, 6 Al 3.18
Al (0.3333, 0.6667, 0.7390)  3 Zn 2.62
Zn (0.3333, 0.6667, 0.2651)  3 Al 2.62

Results
M_tot, μB per formula unit: 0.00
Crystal system: trigonal
ΔH_f (0 K), eV per formula unit: -2.59
Calculated density, g cm⁻³: 5.9

---

A relaxed CeAlAg2 crystal, computed with PBE.

a b c (Å): 3.1448 3.1448 7.9887
angles (deg): 90.00 90.00 90.00
Closest atoms and distances in Å follow each position.
Space group P4/mmm (No. 123)
Asymmetric unit:
Ce (0.0000, 0.0000, 0.0000)  4 Ce 3.14, 8 Ag 3.26
Al (0.0000, 0.0000, 0.5000)  8 Ag 2.75
Ag (0.5000, 0.5000, 0.2985)  4 Al 2.75

Results
M_tot, μB per formula unit: 0.38
Crystal system: tetragonal
ΔH_f (0 K), eV per formula unit: -0.43
Excess energy over the best structure of this formula in the dataset, meV per atom: 107
Calculated density, g cm⁻³: 8.0